# 1
Ti3PtC | PBE | optimized geometry

a = 2.959 Å, b = 4.125 Å, c = 5.800 Å
α = 90.00°, β = 90.00°, γ = 90.00°
Fractional positions:
Ti 0.000 0.000 0.000
Ti 0.500 0.500 0.254
Ti 0.500 0.500 0.746
Pt 0.000 0.000 0.500
C 0.000 0.500 0.000

Output
DFT total energy: -8.4644 eV/atom
formation enthalpy at 0 K: -0.675 eV/atom
density of states at the Fermi level: 4.06 states/eV per cell

# 2
Ca2Tc2Pd | PBE | optimized geometry

a = 6.729 Å, b = 6.729 Å, c = 4.805 Å
α = 90.00°, β = 90.00°, γ = 90.00°
Fractional positions:
Ca 0.179 0.321 0.000
Ca 0.321 0.821 0.000
Ca 0.679 0.179 0.000
Ca 0.821 0.679 0.000
Tc 0.115 0.615 0.500
Tc 0.385 0.115 0.500
Tc 0.615 0.885 0.500
Tc 0.885 0.385 0.500
Pd 0.000 0.000 0.500
Pd 0.500 0.500 0.500

Output
DFT total energy: -5.7292 eV/atom
formation enthalpy at 0 K: 0.256 eV/atom
density of states at the Fermi level: 12.31 states/eV per cell

# 3
TlNi2P | PBE | optimized geometry

a = 6.038 Å, b = 6.038 Å, c = 6.038 Å
α = 35.77°, β = 35.77°, γ = 35.77°
Fractional positions:
Tl 0.000 0.000 0.000
Ni 0.200 0.200 0.200
Ni 0.453 0.453 0.453
P 0.824 0.824 0.824

Output
DFT total energy: -4.9334 eV/atom
formation enthalpy at 0 K: -0.099 eV/atom
density of states at the Fermi level: 3.36 states/eV per cell

# 4
Dy4InCo | PBE | optimized geometry

a = 9.535 Å, b = 9.535 Å, c = 9.535 Å
α = 60.00°, β = 60.00°, γ = 60.00°
Fractional positions:
Dy 0.040 0.653 0.653
Dy 0.061 0.061 0.439
Dy 0.061 0.439 0.061
Dy 0.061 0.439 0.439
Dy 0.189 0.189 0.811
Dy 0.189 0.811 0.189
Dy 0.189 0.811 0.811
Dy 0.439 0.061 0.061
Dy 0.439 0.061 0.439
Dy 0.439 0.439 0.061
Dy 0.653 0.040 0.653
Dy 0.653 0.653 0.040
Dy 0.653 0.653 0.653
Dy 0.811 0.189 0.189
Dy 0.811 0.189 0.811
Dy 0.811 0.811 0.189
In 0.418 0.418 0.418
In 0.418 0.418 0.747
In 0.418 0.747 0.418
In 0.747 0.418 0.418
Co 0.421 0.860 0.860
Co 0.860 0.421 0.860
Co 0.860 0.860 0.421
Co 0.860 0.860 0.860

Output
DFT total energy: -5.0161 eV/atom
formation enthalpy at 0 K: -0.307 eV/atom
density of states at the Fermi level: 17.37 states/eV per cell

# 5
LiCaSc2Cd4 | PBE | optimized geometry

a = 8.810 Å, b = 8.810 Å, c = 8.810 Å
α = 33.19°, β = 33.19°, γ = 33.19°
Fractional positions:
Li 0.000 0.000 0.000
Ca 0.500 0.500 0.500
Sc 0.251 0.251 0.251
Sc 0.749 0.749 0.749
Cd 0.116 0.116 0.116
Cd 0.372 0.372 0.372
Cd 0.628 0.628 0.628
Cd 0.884 0.884 0.884

Output
DFT total energy: -2.7669 eV/atom
formation enthalpy at 0 K: -0.237 eV/atom
density of states at the Fermi level: 6.13 states/eV per cell

# 6
CaPmTm2Te4 | PBE | optimized geometry

a = 7.599 Å, b = 4.357 Å, c = 7.634 Å
α = 90.00°, β = 109.00°, γ = 90.00°
Fractional positions:
Ca 0.000 0.000 0.000
Pm 0.000 0.500 0.500
Tm 0.500 0.000 0.500
Tm 0.500 0.500 0.000
Te 0.261 0.500 0.251
Te 0.262 0.000 0.757
Te 0.738 0.000 0.243
Te 0.739 0.500 0.749

Output
DFT total energy: -4.8766 eV/atom
raw formation energy: -10.8 eV per formula unit
density of states at the Fermi level: 3.71 states/eV per cell